Record 1
Ti6ZnCu: optimized geometry, PBE.

a = 4.568 Å, b = 4.568 Å, c = 7.566 Å
α = 104.71°, β = 104.71°, γ = 71.97°
Fractional positions:
Ti 0.060 0.566 0.202
Ti 0.151 0.151 0.452
Ti 0.434 0.940 0.798
Ti 0.566 0.060 0.202
Ti 0.849 0.849 0.548
Ti 0.940 0.434 0.798
Zn 0.000 0.000 0.000
Cu 0.500 0.500 0.500

Properties
The energy of formation is 0.30 eV/atom. The volume comes out at 17.821 Å³/atom. For the energy above the most stable polymorph in this dataset, the calculation gives 348 meV/atom.

---

Record 2
Ti3ZnCu4: optimized geometry, PBE.

a = 4.121 Å, b = 4.121 Å, c = 6.671 Å
α = 90.00°, β = 90.00°, γ = 90.00°
Fractional positions:
Ti 0.000 0.000 0.000
Ti 0.000 0.000 0.500
Ti 0.500 0.500 0.000
Zn 0.500 0.500 0.500
Cu 0.000 0.500 0.263
Cu 0.000 0.500 0.737
Cu 0.500 0.000 0.263
Cu 0.500 0.000 0.737

Properties
The energy of formation is -0.07 eV/atom. The volume comes out at 14.160 Å³/atom.

---

Record 3
TiZnCu3: optimized geometry, PBE.

a = 4.367 Å, b = 4.367 Å, c = 4.367 Å
α = 90.00°, β = 90.00°, γ = 90.00°
Fractional positions:
Ti 0.000 0.000 0.000
Zn 0.500 0.500 0.500
Cu 0.000 0.500 0.500
Cu 0.500 0.000 0.500
Cu 0.500 0.500 0.000

Properties
The energy of formation is 0.69 eV/atom. The volume comes out at 16.654 Å³/atom. For the energy above the most stable polymorph in this dataset, the calculation gives 805 meV/atom.

---

Record 4
Ti2Zn3Cu4: optimized geometry, PBE.

a = 7.791 Å, b = 7.791 Å, c = 7.022 Å
α = 90.00°, β = 90.00°, γ = 142.38°
Fractional positions:
Ti 0.087 0.913 0.882
Ti 0.413 0.587 0.382
Ti 0.587 0.413 0.618
Ti 0.913 0.087 0.118
Zn 0.000 0.000 0.500
Zn 0.004 0.496 0.750
Zn 0.496 0.004 0.250
Zn 0.500 0.500 0.000
Zn 0.504 0.996 0.750
Zn 0.996 0.504 0.250
Cu 0.165 0.835 0.512
Cu 0.174 0.326 0.750
Cu 0.326 0.174 0.250
Cu 0.335 0.665 0.012
Cu 0.665 0.335 0.988
Cu 0.674 0.826 0.750
Cu 0.826 0.674 0.250
Cu 0.835 0.165 0.488

Properties
The energy of formation is -0.04 eV/atom. The volume comes out at 14.456 Å³/atom. For the energy above the most stable polymorph in this dataset, the calculation gives 83 meV/atom.

---

Record 5
Ti3Zn2Cu7: optimized geometry, PBE.

a = 4.965 Å, b = 2.555 Å, c = 12.941 Å
α = 90.00°, β = 94.52°, γ = 90.00°
Fractional positions:
Ti 0.000 0.000 0.000
Ti 0.034 0.500 0.662
Ti 0.966 0.500 0.338
Zn 0.465 0.000 0.327
Zn 0.535 0.000 0.673
Cu 0.230 0.500 0.167
Cu 0.250 0.000 0.500
Cu 0.276 0.000 0.837
Cu 0.500 0.500 0.000
Cu 0.724 0.000 0.163
Cu 0.750 0.000 0.500
Cu 0.770 0.500 0.833

Properties
The energy of formation is -0.01 eV/atom. The volume comes out at 13.638 Å³/atom.

---

Record 6
TiZn3Cu2: optimized geometry, PBE.

a = 4.226 Å, b = 4.226 Å, c = 11.020 Å
α = 90.00°, β = 90.00°, γ = 120.00°
Fractional positions:
Ti 0.000 0.000 0.250
Ti 0.000 0.000 0.750
Zn 0.000 0.000 0.000
Zn 0.000 0.000 0.500
Zn 0.333 0.667 0.117
Zn 0.333 0.667 0.383
Zn 0.667 0.333 0.617
Zn 0.667 0.333 0.883
Cu 0.333 0.667 0.633
Cu 0.333 0.667 0.867
Cu 0.667 0.333 0.133
Cu 0.667 0.333 0.367

Properties
The energy of formation is -0.10 eV/atom. The volume comes out at 14.201 Å³/atom.

---

Record 7
TiZn2Cu2: optimized geometry, PBE.

a = 6.475 Å, b = 6.475 Å, c = 6.475 Å
α = 155.80°, β = 141.13°, γ = 46.31°
Fractional positions:
Ti 0.000 0.000 0.000
Zn 0.394 0.394 0.000
Zn 0.606 0.606 0.000
Cu 0.210 0.710 0.500
Cu 0.790 0.290 0.500

Properties
The energy of formation is -0.09 eV/atom. The volume comes out at 13.926 Å³/atom. For the energy above the most stable polymorph in this dataset, the calculation gives 0 meV/atom.

---

Record 8
Ti5ZnCu2: optimized geometry, PBE.

a = 7.611 Å, b = 7.611 Å, c = 7.611 Å
α = 129.76°, β = 129.76°, γ = 73.78°
Fractional positions:
Ti 0.000 0.000 0.000
Ti 0.006 0.506 0.193
Ti 0.187 0.994 0.500
Ti 0.313 0.813 0.807
Ti 0.494 0.687 0.500
Ti 0.500 0.500 0.000
Ti 0.506 0.313 0.500
Ti 0.687 0.187 0.193
Ti 0.813 0.006 0.500
Ti 0.994 0.494 0.807
Zn 0.250 0.250 0.000
Zn 0.750 0.750 0.000
Cu 0.133 0.367 0.500
Cu 0.367 0.867 0.234
Cu 0.633 0.133 0.766
Cu 0.867 0.633 0.500

Properties
The energy of formation is 0.02 eV/atom. The volume comes out at 15.884 Å³/atom.

---

Record 9
Ti3Zn7Cu2: optimized geometry, PBE.

a = 4.268 Å, b = 3.025 Å, c = 14.313 Å
α = 90.00°, β = 98.42°, γ = 90.00°
Fractional positions:
Ti 0.000 0.000 0.000
Ti 0.314 0.500 0.631
Ti 0.686 0.500 0.369
Zn 0.081 0.500 0.152
Zn 0.229 0.000 0.458
Zn 0.401 0.000 0.810
Zn 0.500 0.500 0.000
Zn 0.599 0.000 0.190
Zn 0.771 0.000 0.542
Zn 0.919 0.500 0.848
Cu 0.148 0.000 0.290
Cu 0.852 0.000 0.710

Properties
The energy of formation is -0.04 eV/atom. The volume comes out at 15.234 Å³/atom.

---

Record 10
Ti3Zn12Cu: optimized geometry, PBE.

a = 3.988 Å, b = 3.988 Å, c = 14.896 Å
α = 90.00°, β = 90.00°, γ = 90.00°
Fractional positions:
Ti 0.000 0.000 0.000
Ti 0.000 0.000 0.258
Ti 0.000 0.000 0.742
Zn 0.000 0.500 0.129
Zn 0.000 0.500 0.383
Zn 0.000 0.500 0.617
Zn 0.000 0.500 0.871
Zn 0.500 0.000 0.129
Zn 0.500 0.000 0.383
Zn 0.500 0.000 0.617
Zn 0.500 0.000 0.871
Zn 0.500 0.500 0.000
Zn 0.500 0.500 0.257
Zn 0.500 0.500 0.500
Zn 0.500 0.500 0.743
Cu 0.000 0.000 0.500

Properties
The energy of formation is -0.15 eV/atom. The volume comes out at 14.806 Å³/atom.

---

Record 11
Ti2Zn6Cu: optimized geometry, PBE.

a = 5.199 Å, b = 5.199 Å, c = 5.891 Å
α = 90.00°, β = 90.00°, γ = 120.00°
Fractional positions:
Ti 0.333 0.667 0.092
Ti 0.667 0.333 0.908
Zn 0.172 0.344 0.678
Zn 0.172 0.828 0.678
Zn 0.344 0.172 0.322
Zn 0.656 0.828 0.678
Zn 0.828 0.172 0.322
Zn 0.828 0.656 0.322
Cu 0.000 0.000 0.000

Properties
The energy of formation is -0.06 eV/atom. The volume comes out at 15.324 Å³/atom. For the energy above the most stable polymorph in this dataset, the calculation gives 28 meV/atom.

---

Record 12
ZrTiZnCu: optimized geometry, PBE.

a = 3.153 Å, b = 3.153 Å, c = 6.669 Å
α = 90.00°, β = 90.00°, γ = 90.00°
Fractional positions:
Zr 0.000 0.000 0.000
Ti 0.000 0.000 0.513
Zn 0.500 0.500 0.279
Cu 0.500 0.500 0.717

Properties
The energy of formation is -0.15 eV/atom. The volume comes out at 16.575 Å³/atom.